V4Ga5 GGA-PBE optimized geometry; calculated volume = 15.5 Å³ per atom; final energy = -51.2 eV/cell; ΔH_f (0 K) = 1.0 kcal/mol of atoms; DOS(E_F) = 4.99 states/eV per cell
1.0
4.8554 0.0000 0.0000
2.4277 5.3578 0.0000
2.4277 0.0000 5.3578
V Ga
4 5
Cartesian
2.4277 1.6668 2.1419
4.8554 3.2160 1.6668
4.8554 2.1419 3.6910
7.2830 3.6910 3.2160
2.4277 0.0000 0.0000
2.4277 3.6176 0.5205
4.8554 4.8373 3.6176
4.8554 0.5205 1.7403
7.2830 1.7403 4.8373